Crystalline CaErTh at its relaxed geometry. Source: the Alexandria database, functional PBE.

a = 3.6083 Å, b = 3.6083 Å, c = 17.5572 Å
α = 90.00°, β = 90.00°, γ = 120.00°
With the nearest neighbours (Å) after each atom.
Atoms (fractional coordinates):
Ca: 0.0000 0.0000 0.1725  6 Ca 3.61, 3 Er 3.63, 3 Th 3.68
Ca: 0.0000 0.0000 0.8275  6 Ca 3.61, 3 Er 3.63, 3 Th 3.68
Er: 0.3333 0.6667 0.3419  3 Th 3.47, 6 Er 3.61, 3 Ca 3.63
Er: 0.3333 0.6667 0.6581  3 Th 3.47, 6 Er 3.61, 3 Ca 3.63
Th: 0.0000 0.0000 0.5000  6 Er 3.47, 6 Th 3.61
Th: 0.3333 0.6667 0.0000  6 Th 3.61, 6 Ca 3.68

- total moment (μB per formula unit) = 0.00
- distance to the lowest polymorph of the same formula (eV per atom) = 0.038
- calculated total energy (eV/cell) = -27.1
- density of states at the Fermi level (states/eV per atom) = 1.92


Crystalline Ce2SnRh at its relaxed geometry. Source: the Alexandria database, functional PBE.

a = 10.1435 Å, b = 10.1435 Å, c = 10.1435 Å
α = 21.52°, β = 21.52°, γ = 21.52°
With the nearest neighbours (Å) after each atom.
Atoms (fractional coordinates):
Ce: 0.1088 0.1088 0.1088  3 Rh 2.78
Ce: 0.8912 0.8912 0.8912  3 Rh 2.78
Sn: 0.0000 0.0000 0.0000  2 Ce 3.23
Rh: 0.5000 0.5000 0.5000  6 Ce 2.78

- total moment (μB per formula unit) = 1.82
- calculated total energy (eV/cell) = -24.0
- density of states at the Fermi level (states/eV per atom) = 2.74


Crystalline Tb2TaN4 at its relaxed geometry. Source: the Alexandria database, functional PBE.

a = 5.9778 Å, b = 6.0339 Å, c = 6.5941 Å
α = 90.00°, β = 107.14°, γ = 90.00°
With the nearest neighbours (Å) after each atom.
Atoms (fractional coordinates):
Tb: 0.1576 0.2500 0.0238  4 N 2.32-2.46
Tb: 0.2273 0.2500 0.5494  4 N 2.32-2.48
Tb: 0.7727 0.7500 0.4506  4 N 2.32-2.48
Tb: 0.8424 0.7500 0.9762  4 N 2.32-2.46
Ta: 0.2965 0.7500 0.8168  4 N 1.93-1.97
Ta: 0.7035 0.2500 0.1832  4 N 1.93-1.97
N: 0.0594 0.5123 0.7541  1 Ta 1.97
N: 0.0594 0.9877 0.7541  1 Ta 1.97
N: 0.4788 0.2500 0.3413  1 Ta 1.93
N: 0.4976 0.7500 0.1070  1 Ta 1.94
N: 0.5024 0.2500 0.8930  1 Ta 1.94
N: 0.5212 0.7500 0.6587  1 Ta 1.93
N: 0.9406 0.0123 0.2459  1 Ta 1.97
N: 0.9406 0.4877 0.2459  1 Ta 1.97

- total moment (μB per formula unit) = 0.54
- calculated total energy (eV/cell) = -123.2
- density of states at the Fermi level (states/eV per atom) = 0.58
- formation energy (no corrections) (meV/atom) = -1029


Crystalline Rb2TlCd2 at its relaxed geometry. Source: the Alexandria database, functional PBE.

a = 10.6485 Å, b = 10.6485 Å, c = 3.7463 Å
α = 90.00°, β = 90.00°, γ = 90.00°
With the nearest neighbours (Å) after each atom.
Atoms (fractional coordinates):
Rb: 0.1904 0.3096 0.0000  6 Cd 3.67-3.74, 2 Rb 3.75, 2 Tl 3.87
Rb: 0.3096 0.8096 0.0000  6 Cd 3.67-3.74, 2 Rb 3.75, 2 Tl 3.87
Rb: 0.6904 0.1904 0.0000  6 Cd 3.67-3.74, 2 Rb 3.75, 2 Tl 3.87
Rb: 0.8096 0.6904 0.0000  6 Cd 3.67-3.74, 2 Rb 3.75, 2 Tl 3.87
Tl: 0.0000 0.0000 0.0000  2 Tl 3.75, 4 Rb 3.87
Tl: 0.5000 0.5000 0.0000  2 Tl 3.75, 4 Rb 3.87
Cd: 0.1001 0.6001 0.5000  1 Cd 3.01
Cd: 0.3999 0.1001 0.5000  1 Cd 3.01
Cd: 0.6001 0.8999 0.5000  1 Cd 3.01
Cd: 0.8999 0.3999 0.5000  1 Cd 3.01

- total moment (μB per formula unit) = 0.00
- distance to the lowest polymorph of the same formula (eV per atom) = 0.173
- calculated total energy (eV/cell) = -11.1
- density of states at the Fermi level (states/eV per atom) = 0.63